Material: K2InFe
Method: DFT, GGA-PBE
State: relaxed Values from VASP.

Structure (Quantum ESPRESSO input):
```
&SYSTEM
  ibrav = 0, nat = 4, ntyp = 3
/
ATOMIC_SPECIES
K 39.10 K.upf
In 114.82 In.upf
Fe 55.84 Fe.upf
CELL_PARAMETERS angstrom
3.7474 0.0000 0.0000
0.0000 3.7474 0.0000
0.0000 0.0000 10.3647
ATOMIC_POSITIONS angstrom
K 0.0000 0.0000 0.0000
K 1.8737 1.8737 4.1336
In 1.8737 1.8737 7.5220
Fe 0.0000 0.0000 7.0513
```

The energy of formation is 0.4009 eV/atom. For the total energy, the calculation gives -11.8 eV per cell. For the density of states at the Fermi level, the calculation gives 2.93 states/eV/f.u.

=====

Material: KInFe
Method: DFT, GGA-PBE
State: relaxed Values from VASP.

Structure (Quantum ESPRESSO input):
```
&SYSTEM
  ibrav = 0, nat = 3, ntyp = 3
/
ATOMIC_SPECIES
K 39.10 K.upf
In 114.82 In.upf
Fe 55.84 Fe.upf
CELL_PARAMETERS angstrom
0.0000 3.7742 3.7742
3.7742 0.0000 3.7742
3.7742 3.7742 0.0000
ATOMIC_POSITIONS angstrom
K 0.0000 0.0000 0.0000
In 5.6613 5.6613 5.6613
Fe 1.8871 1.8871 1.8871
```

The energy of formation is 1.3111 eV/atom. For the total energy, the calculation gives -8.4 eV per cell. For the density of states at the Fermi level, the calculation gives 2.88 states/eV/f.u.

=====

Material: KIn3Fe
Method: DFT, GGA-PBE
State: relaxed Values from VASP.

Structure (Quantum ESPRESSO input):
```
&SYSTEM
  ibrav = 0, nat = 5, ntyp = 3
/
ATOMIC_SPECIES
K 39.10 K.upf
In 114.82 In.upf
Fe 55.84 Fe.upf
CELL_PARAMETERS angstrom
5.0812 0.0000 0.0000
0.0000 5.0812 0.0000
0.0000 0.0000 5.0812
ATOMIC_POSITIONS angstrom
K 0.0000 0.0000 0.0000
In 0.0000 2.5406 2.5406
In 2.5406 0.0000 2.5406
In 2.5406 2.5406 0.0000
Fe 2.5406 2.5406 2.5406
```

The energy of formation is -0.0048 eV/atom. For the total energy, the calculation gives -17.8 eV per cell. For the density of states at the Fermi level, the calculation gives 0.47 states/eV/f.u.

=====

Material: KLi2InFe
Method: DFT, GGA-PBE
State: relaxed Values from VASP.

Structure (Quantum ESPRESSO input):
```
&SYSTEM
  ibrav = 0, nat = 5, ntyp = 4
/
ATOMIC_SPECIES
K 39.10 K.upf
Li 6.94 Li.upf
In 114.82 In.upf
Fe 55.84 Fe.upf
CELL_PARAMETERS angstrom
5.1199 0.0000 0.0000
0.0000 5.1199 0.0000
0.0000 0.0000 5.9694
ATOMIC_POSITIONS angstrom
K 0.0000 0.0000 0.0000
Li 0.0000 2.5599 2.9847
Li 2.5599 0.0000 2.9847
In 2.5599 2.5599 0.0000
Fe 0.0000 0.0000 2.9847
```

The energy of formation is 0.7859 eV/atom. For the total energy, the calculation gives -12.2 eV per cell. For the density of states at the Fermi level, the calculation gives 7.05 states/eV/f.u.